No. 1
{
  "formula": "LaAl2Te",
  "functional": "PBE-GGA",
  "state": "optimized geometry",
  "e_form_raw_ev_per_atom": -0.4448,
  "sg": "P4mm",
  "cell": [[3.888, 0.000, 0.000], [0.000, 3.888, 0.000], [0.000, 0.000, 6.604]],
  "species": ["La", "Te", "Al", "Al"],
  "frac_coords": [[0.000, 0.000, 0.495], [0.500, 0.500, 0.779], [0.000, 0.000, 0.022], [0.500, 0.500, 0.204]]
}

No. 2
{
  "formula": "La3Al5Te12",
  "functional": "PBE-GGA",
  "state": "optimized geometry",
  "e_form_raw_ev_per_atom": -0.8373,
  "sg": "Ia-3d",
  "cell": [[-11.698, -3.643, 8.751], [3.221, -11.531, -9.129], [11.955, 3.066, 8.623]],
  "species": ["La", "Te", "Te", "Te", "Te", "Te", "Te", "Al", "Al", "Al", "Te", "Al", "Te", "La", "Te", "Al", "Te", "Te", "Te", "Te", "Te", "Al", "Te", "La", "Al", "Te", "Te", "Te", "Te", "Te", "Te", "Al", "Al", "La", "Al", "Te", "Te", "Al", "Te", "Te", "Te", "Al", "La", "Te", "Te", "Te", "La", "Te", "Te", "Al", "Te", "Te", "La", "Te", "Te", "Te", "Al", "Al", "Te", "Al", "Te", "Al", "Te", "Te", "La", "La", "La", "Al", "Al", "La", "Te", "Te", "Te", "Al", "Te", "Te", "Te", "Te", "Te", "La"],
  "frac_coords": [[0.125, 0.875, 0.750], [0.324, 0.794, 0.414], [0.586, 0.880, 0.410], [0.880, 0.294, 0.470], [0.410, 0.030, 0.324], [0.086, 0.910, 0.380], [0.914, 0.824, 0.794], [0.500, 0.000, 0.500], [0.000, 0.000, 0.500], [0.500, 0.000, 0.000], [0.414, 0.294, 0.324], [0.375, 0.125, 0.750], [0.090, 0.176, 0.470], [0.250, 0.625, 0.875], [0.824, 0.914, 0.294], [0.500, 0.500, 0.500], [0.620, 0.030, 0.206], [0.910, 0.824, 0.530], [0.294, 0.414, 0.824], [0.176, 0.090, 0.970], [0.086, 0.176, 0.206], [0.875, 0.250, 0.625], [0.620, 0.590, 0.914], [0.625, 0.250, 0.375], [0.375, 0.250, 0.125], [0.176, 0.086, 0.706], [0.120, 0.414, 0.090], [0.880, 0.586, 0.910], [0.970, 0.590, 0.176], [0.410, 0.380, 0.586], [0.120, 0.706, 0.530], [0.125, 0.750, 0.375], [0.875, 0.625, 0.750], [0.750, 0.875, 0.625], [0.625, 0.875, 0.250], [0.590, 0.970, 0.676], [0.380, 0.410, 0.086], [0.250, 0.875, 0.125], [0.794, 0.470, 0.380], [0.706, 0.586, 0.176], [0.090, 0.914, 0.120], [0.500, 0.500, 0.000], [0.875, 0.750, 0.125], [0.530, 0.206, 0.120], [0.294, 0.880, 0.970], [0.794, 0.324, 0.914], [0.375, 0.625, 0.250], [0.914, 0.090, 0.620], [0.970, 0.380, 0.294], [0.250, 0.375, 0.625], [0.380, 0.970, 0.794], [0.414, 0.120, 0.590], [0.250, 0.125, 0.375], [0.824, 0.910, 0.030], [0.470, 0.794, 0.880], [0.206, 0.530, 0.620], [0.000, 0.500, 0.000], [0.625, 0.750, 0.875], [0.470, 0.676, 0.090], [0.750, 0.125, 0.875], [0.910, 0.086, 0.880], [0.750, 0.625, 0.375], [0.676, 0.470, 0.590], [0.324, 0.530, 0.410], [0.125, 0.250, 0.875], [0.875, 0.125, 0.250], [0.625, 0.375, 0.750], [0.000, 0.500, 0.500], [0.125, 0.375, 0.250], [0.750, 0.375, 0.125], [0.530, 0.324, 0.910], [0.676, 0.206, 0.586], [0.206, 0.676, 0.086], [0.000, 0.000, 0.000], [0.706, 0.120, 0.030], [0.030, 0.620, 0.706], [0.030, 0.410, 0.824], [0.590, 0.620, 0.414], [0.586, 0.706, 0.676], [0.375, 0.750, 0.625]]
}

Q: Which formula does entry 1 have?
A: LaAl2Te